Material: GaSb3
Method: DFT, PBEsol
State: optimized geometry

As for the raw formation energy: 164 meV/atom.

It has space group Fm-3m (No. 225), with a = 7.286 Å, b = 7.286 Å, c = 7.286 Å, α = 90.00°, β = 90.00° and γ = 90.00°. Symmetry generates all atoms from Ga at (0.000, 0.000, 0.000), Sb at (0.000, 0.000, 0.500) and Sb at (0.250, 0.250, 0.250).

---

Material: NaMgF3
Method: DFT, PBEsol
State: optimized geometry

As for the raw formation energy: -3224 meV/atom.

It has space group Cmcm (No. 63), with a = 3.002 Å, b = 10.049 Å, c = 7.337 Å, α = 90.00°, β = 90.00° and γ = 90.00°. Symmetry generates all atoms from Na at (0.000, 0.244, 0.250), Mg at (0.000, 0.500, 0.000), F at (0.000, 0.127, 0.558) and F at (0.000, 0.427, 0.750).

---

Material: BeRe2Ni
Method: DFT, PBEsol
State: optimized geometry

The calculation puts the total energy at -36.19 eV per formula unit.

It has space group Cmmm (No. 65), with a = 5.038 Å, b = 7.546 Å, c = 2.587 Å, α = 90.00°, β = 90.00° and γ = 90.00°. Symmetry generates all atoms from Be at (0.000, 0.000, 0.000), Re at (0.250, 0.250, 0.500) and Ni at (0.000, 0.500, 0.000).

---

Material: ZnH2Rh
Method: DFT, PBEsol
State: optimized geometry

The calculation puts the total energy at -15.06 eV per formula unit.

It has space group Fm-3m (No. 225), with a = 5.089 Å, b = 5.089 Å, c = 5.089 Å, α = 90.00°, β = 90.00° and γ = 90.00°. Symmetry generates all atoms from Zn at (0.000, 0.000, 0.000), H at (0.250, 0.250, 0.250) and Rh at (0.000, 0.000, 0.500).

---

Material: Mn3AlRh
Method: DFT, PBEsol
State: optimized geometry

The calculation puts the total energy at -34.49 eV per formula unit.

It has space group Pm-3m (No. 221), with a = 4.351 Å, b = 4.351 Å, c = 4.351 Å, α = 90.00°, β = 90.00° and γ = 90.00°. Symmetry generates all atoms from Mn at (0.000, 0.000, 0.500), Al at (0.000, 0.000, 0.000) and Rh at (0.500, 0.500, 0.500).

---

Material: VAu2
Method: DFT, PBEsol
State: optimized geometry

The calculation puts the total energy at -17.50 eV per formula unit.

It has space group Cmcm (No. 63), with a = 8.438 Å, b = 4.766 Å, c = 4.709 Å, α = 90.00°, β = 90.00° and γ = 90.00°. Symmetry generates all atoms from V at (0.000, 0.201, 0.250) and Au at (0.162, 0.294, 0.750).

---

Material: NbCoSi2Hg
Method: DFT, PBEsol
State: optimized geometry

As for the raw formation energy: 1069 meV/atom.

It has space group P4/mmm (No. 123), with a = 4.877 Å, b = 4.877 Å, c = 4.457 Å, α = 90.00°, β = 90.00° and γ = 90.00°. Symmetry generates all atoms from Nb at (0.000, 0.000, 0.000), Co at (0.000, 0.000, 0.500), Si at (0.000, 0.500, 0.000) and Hg at (0.500, 0.500, 0.500).

---

Material: SrTaCr2
Method: DFT, PBEsol
State: optimized geometry

The calculation puts the total energy at -32.07 eV per formula unit.

It has space group P4mm (No. 99), with a = 2.965 Å, b = 2.965 Å, c = 8.396 Å, α = 90.00°, β = 90.00° and γ = 90.00°. Symmetry generates all atoms from Sr at (0.000, 0.000, 0.000), Ta at (0.500, 0.500, 0.347), Cr at (0.000, 0.000, 0.550) and Cr at (0.500, 0.500, 0.691).